1.
Density functional theory data (PBE) for crystalline BeMoIr4 at its relaxed geometry.

Geometry as POSCAR:
```
BeMoIr4
1.0
0.000 3.608 3.608
3.608 0.000 3.608
3.608 3.608 0.000
Be Mo Ir
1 1 4
direct
0.000 0.000 0.000
0.250 0.250 0.250
0.123 0.626 0.626
0.626 0.123 0.626
0.626 0.626 0.123
0.626 0.626 0.626
```

Results
Total energy (eV per atom): -7.8937
Size of the total moment (μB/f.u.): 0.00
Calculated formation energy (eV/atom): 0.44


2.
Density functional theory data (PBE) for crystalline SmEr8Mg6 at its relaxed geometry.

Geometry as POSCAR:
```
SmEr8Mg6
1.0
4.534 2.617 6.401
-4.534 2.617 6.401
0.000 -5.235 6.401
Sm Er Mg
1 8 6
direct
0.000 0.000 0.000
0.117 0.783 0.451
0.217 0.549 0.883
0.336 0.336 0.336
0.451 0.117 0.783
0.549 0.883 0.217
0.664 0.664 0.664
0.783 0.451 0.117
0.883 0.217 0.549
0.047 0.385 0.714
0.286 0.953 0.615
0.385 0.714 0.047
0.615 0.286 0.953
0.714 0.047 0.385
0.953 0.615 0.286
```

Results
Total energy (eV per atom): -3.1778
Size of the total moment (μB/f.u.): 0.00
Calculated formation energy (eV/atom): 0.21


Q: Among the records above, which one has the lowest calculated formation energy?
A: SmEr8Mg6


Q: Which of these has the highest total energy?
A: SmEr8Mg6


Q: Look up the total energy of the first one.
A: -7.8937 eV per atom